Material: BaNiIr2
Method: DFT, PBE
State: relaxed

Unit cell a=4.243 b=2.960 c=6.558 alpha=76.79 beta=90.00 gamma=90.00
Sites, in units of the cell vectors:
Ba  0.500  0.695  0.728
Ir  0.000  0.007  0.114
Ir  0.500  0.453  0.225
Ni  0.000  0.345  0.433

Summary:
Magnetization, μB/atom: 0.0000
Energy of formation from the pure elements, kJ/mol of atoms: 33
Density of states at the Fermi level, states/eV/f.u.: 5.333
Space group: Pm (6)

***

Material: Ac7La3Nd2
Method: DFT, PBE
State: relaxed

Unit cell a=3.815 b=7.024 c=19.329 alpha=75.02 beta=90.00 gamma=90.00
Sites, in units of the cell vectors:
Ac  0.500  0.243  0.503
Ac  0.500  0.757  0.497
Ac  0.000  0.556  0.170
Ac  0.000  0.000  0.000
Ac  0.000  0.444  0.830
Ac  0.500  0.945  0.826
Ac  0.500  0.055  0.174
La  0.500  0.500  0.000
La  0.000  0.117  0.342
La  0.000  0.883  0.658
Nd  0.500  0.614  0.332
Nd  0.500  0.386  0.668

Summary:
Magnetization, μB/atom: 0.0000
Energy of formation from the pure elements, kJ/mol of atoms: 8
Density of states at the Fermi level, states/eV/f.u.: 20.420
Space group: P2/m (10)

***

Material: PrTm3Th2Bi6
Method: DFT, PBE
State: relaxed

Unit cell a=4.532 b=9.026 c=10.098 alpha=102.59 beta=102.97 gamma=90.00
Sites, in units of the cell vectors:
Pr  0.500  0.000  0.000
Tm  0.500  0.500  0.000
Tm  0.835  0.167  0.669
Tm  0.165  0.833  0.331
Th  0.835  0.669  0.669
Th  0.165  0.331  0.331
Bi  0.330  0.923  0.659
Bi  0.664  0.590  0.329
Bi  0.670  0.077  0.341
Bi  0.997  0.259  0.995
Bi  0.003  0.741  0.005
Bi  0.336  0.410  0.671

Summary:
Magnetization, μB/atom: 0.0000
Energy of formation from the pure elements, kJ/mol of atoms: -71
Density of states at the Fermi level, states/eV/f.u.: 4.876
Space group: C2/m (12)

***

Material: Ba2FeBr
Method: DFT, PBE
State: relaxed

Unit cell a=6.597 b=6.597 c=5.491 alpha=90.00 beta=90.00 gamma=35.46
Sites, in units of the cell vectors:
Ba  0.010  0.010  0.125
Ba  0.749  0.749  0.625
Br  0.483  0.483  0.625
Fe  0.259  0.259  0.125

Summary:
Magnetization, μB/atom: 0.4080
Relative energy among the computed polymorphs, kJ/mol of formula units: 18
Density of states at the Fermi level, states/eV/f.u.: 5.031
Space group: Amm2 (38)